! Ba3H6Rh | the Alexandria database | GGA-PBE | relaxed; values from VASP
! DOS(E_F): 0.39 states/eV per atom
! calculated density: 4.8 Mg/m³
! final energy: -36.3 eV per formula unit
&SYSTEM
  ibrav = 0, nat = 20, ntyp = 3
/
ATOMIC_SPECIES
Ba 137.33 Ba.upf
H 1.01 H.upf
Rh 102.91 Rh.upf
CELL_PARAMETERS angstrom
5.088 2.938 4.004
-5.088 2.938 4.004
0.000 -5.876 4.004
ATOMIC_POSITIONS crystal
Ba 0.055 0.749 0.561
Ba 0.251 0.439 0.945
Ba 0.439 0.945 0.251
Ba 0.561 0.055 0.749
Ba 0.749 0.561 0.055
Ba 0.945 0.251 0.439
H 0.045 0.768 0.940
H 0.060 0.955 0.232
H 0.232 0.060 0.955
H 0.279 0.419 0.562
H 0.419 0.562 0.279
H 0.438 0.721 0.581
H 0.562 0.279 0.419
H 0.581 0.438 0.721
H 0.721 0.581 0.438
H 0.768 0.940 0.045
H 0.940 0.045 0.768
H 0.955 0.232 0.060
Rh 0.000 0.000 0.000
Rh 0.500 0.500 0.500

---

! Nd6SmDy3Ho2 | the Alexandria database | GGA-PBE | relaxed; values from VASP
! DOS(E_F): 1.17 states/eV per atom
! calculated density: 7.6 Mg/m³
! final energy: -56.1 eV per formula unit
! energy of formation: 0.012 eV per atom
&SYSTEM
  ibrav = 0, nat = 12, ntyp = 4
/
ATOMIC_SPECIES
Nd 144.24 Nd.upf
Sm 150.36 Sm.upf
Dy 162.50 Dy.upf
Ho 164.93 Ho.upf
CELL_PARAMETERS angstrom
3.139 -5.437 0.000
3.139 5.437 0.000
-2.086 0.000 11.707
ATOMIC_POSITIONS crystal
Nd 0.082 0.416 0.249
Nd 0.250 0.250 0.750
Nd 0.416 0.082 0.249
Nd 0.584 0.918 0.751
Nd 0.750 0.750 0.250
Nd 0.918 0.584 0.751
Sm 0.500 0.500 0.500
Dy 0.000 0.000 0.000
Dy 0.333 0.667 0.000
Dy 0.667 0.333 0.000
Ho 0.167 0.833 0.500
Ho 0.833 0.167 0.500